(1)
Below is crystalline MnHg3 at its relaxed geometry, with properties calculated at the PBE level.

```
MnHg3
1.0
5.374 0.000 0.000
0.000 5.374 0.000
0.000 0.000 5.374
Mn Hg
1 3
Direct
0.000 0.000 0.000
0.000 0.000 0.500
0.000 0.500 0.000
0.500 0.000 0.000
```

Output
Final energy, eV/atom: -2.105

(2)
Below is crystalline Mn2Hg at its relaxed geometry, with properties calculated at the PBE level.

```
Mn2Hg
1.0
4.046 0.000 0.000
0.000 4.046 0.000
-2.023 -2.023 12.326
Hg Mn
4 8
Direct
0.080 0.080 0.160
0.170 0.670 0.340
0.920 0.920 0.840
0.330 0.830 0.660
0.580 0.580 0.160
0.999 0.499 0.998
0.420 0.420 0.840
0.251 0.251 0.502
0.501 0.001 0.002
0.670 0.170 0.340
0.830 0.330 0.660
0.749 0.749 0.498
```

Output
Final energy, eV/atom: -5.794

(3)
Below is crystalline MnHg3 at its relaxed geometry, with properties calculated at the PBE level.

```
MnHg3
1.0
5.636 0.000 0.000
0.000 5.636 0.000
0.000 0.000 5.636
Mn Hg
2 6
Direct
0.000 0.000 0.000
0.500 0.500 0.500
0.500 0.000 0.250
0.250 0.500 0.000
0.000 0.750 0.500
0.000 0.250 0.500
0.500 0.000 0.750
0.750 0.500 0.000
```

Output
Final energy, eV/atom: -2.169

(4)
Below is crystalline MnHg at its relaxed geometry, with properties calculated at the PBE level.

```
MnHg
1.0
3.057 0.000 0.000
0.000 3.057 0.000
0.000 0.000 7.876
Hg Mn
2 2
Direct
0.750 0.750 0.845
0.250 0.250 0.155
0.750 0.750 0.396
0.250 0.250 0.604
```

Output
Energy above the lowest structure with this stoichiometry, meV/atom: 0

(5)
Below is crystalline Mn2Hg at its relaxed geometry, with properties calculated at the PBE level.

```
Mn2Hg
1.0
-3.131 3.131 2.880
3.131 -3.131 2.880
3.131 3.131 -2.880
Mn Hg
4 2
Direct
0.655 0.845 0.500
0.345 0.155 0.500
0.155 0.655 0.810
0.845 0.345 0.190
0.750 0.750 0.000
0.250 0.250 0.000
```

Output
Final energy, eV/atom: -5.521

(6)
Below is crystalline Mn3Hg4 at its relaxed geometry, with properties calculated at the PBE level.

```
Mn3Hg4
1.0
2.715 -4.702 0.000
2.715 4.702 0.000
0.000 0.000 5.393
Hg Mn
4 3
Direct
0.333 0.667 0.500
0.000 0.000 0.750
0.667 0.333 0.500
0.000 0.000 0.250
0.000 0.500 0.000
0.500 0.000 0.000
0.500 0.500 0.000
```

Output
Energy above the lowest structure with this stoichiometry, meV/atom: 107

(7)
Below is crystalline Mn3Hg at its relaxed geometry, with properties calculated at the PBE level.

```
Mn3Hg
1.0
4.862 0.000 0.000
-2.431 4.834 0.006
0.000 0.876 2.781
Mn Hg
3 1
Direct
0.586 0.497 0.752
0.495 0.000 0.500
0.089 0.503 0.248
0.997 0.000 0.000
```

Output
Final energy, eV/atom: -6.452

(8)
Below is crystalline MnHgMo2 at its relaxed geometry, with properties calculated at the PBE level.

```
MnHgMo2
1.0
5.122 -0.123 -0.090
2.085 4.680 0.090
-3.131 -3.026 2.701
Mo Hg Mn
2 1 1
Direct
0.996 0.996 0.000
0.771 0.271 0.500
0.496 0.496 0.000
0.237 0.737 0.500
```

Output
Final energy, eV/atom: -7.327

(9)
Below is crystalline MnHgMo2 at its relaxed geometry, with properties calculated at the PBE level.

```
MnHgMo2
1.0
2.846 0.023 0.000
-0.027 2.846 0.000
0.000 0.000 7.808
Hg Mn Mo
1 1 2
Direct
0.500 0.500 0.250
0.500 0.500 0.750
0.000 0.000 0.954
0.000 0.000 0.546
```

Output
Final energy, eV/atom: -7.426

(10)
Below is crystalline MnHg2Mo at its relaxed geometry, with properties calculated at the PBE level.

```
MnHg2Mo
1.0
-8.785 3.389 -1.337
-8.759 1.270 -3.480
-9.473 0.537 -0.645
Mo Hg Mn
1 2 1
Direct
0.750 0.750 0.750
0.502 0.502 0.502
0.998 0.998 0.998
0.250 0.250 0.250
```

Output
Energy above the lowest structure with this stoichiometry, meV/atom: 194